No. 1
Computed, not measured: an optimized crystal structure of LiAgI2O at the PBE-GGA level of DFT.

The calculated density comes out at 5.586 g/cm3. As for the calculated volume: 114.3 Å³/f.u. As for the energy above the most stable polymorph in this dataset: 0.54 eV per formula unit. The calculation puts the formation energy from raw total energies at -0.050 eV per atom.

abc: 5.696 5.696 3.524
angles: 90.00 90.00 90.00
Positions (direct):
I: 0.000 0.500 0.000
I: 0.500 0.000 0.000
O: 0.000 0.000 0.500
Ag: 0.500 0.500 0.500
Li: 0.000 0.000 0.000


No. 2
Computed, not measured: an optimized crystal structure of Ni2SbRu at the PBE-GGA level of DFT.

The calculated density comes out at 9.959 g/cm3. As for the calculated volume: 56.7 Å³/f.u. The calculation puts the formation energy from raw total energies at 0.096 eV per atom.

abc: 3.068 4.357 5.399
angles: 51.81 90.00 90.00
Positions (direct):
Ni: 0.000 0.000 0.000
Ni: 0.500 0.500 0.000
Ru: 0.500 0.500 0.500
Sb: 0.000 0.000 0.500


No. 3
Computed, not measured: an optimized crystal structure of ScPPt2 at the PBE-GGA level of DFT.

The calculated density comes out at 11.172 g/cm3. As for the calculated volume: 69.3 Å³/f.u. Its formation energy is -698 meV/atom.

abc: 5.272 5.272 5.272
angles: 46.05 46.05 46.05
Positions (direct):
Sc: 0.500 0.500 0.500
P: 0.000 0.000 0.000
Pt: 0.717 0.717 0.717
Pt: 0.283 0.283 0.283


No. 4
Computed, not measured: an optimized crystal structure of BeZn2Si at the PBE-GGA level of DFT.

The calculated density comes out at 4.957 g/cm3. As for the calculated volume: 56.3 Å³/f.u. The calculation puts the formation energy from raw total energies at 0.440 eV per atom.

abc: 4.301 4.301 4.301
angles: 60.00 60.00 60.00
Positions (direct):
Be: 0.500 0.500 0.500
Zn: 0.000 0.000 0.000
Zn: 0.250 0.250 0.250
Si: 0.750 0.750 0.750


No. 5
Computed, not measured: an optimized crystal structure of BeMoBr2 at the PBE-GGA level of DFT.

The calculated density comes out at 4.914 g/cm3. As for the calculated volume: 89.5 Å³/f.u. As for the energy above the most stable polymorph in this dataset: 0.00 eV per formula unit. The calculation puts the formation energy from raw total energies at 0.028 eV per atom.

abc: 3.262 3.315 8.437
angles: 78.71 90.00 90.00
Site moments in Bohr magnetons follow the coordinates.
Positions (direct):
Be: 0.500 0.721 0.685  -0.01
Mo: 0.000 0.272 0.581  0.15
Br: 0.000 0.117 0.887  0.00
Br: 0.500 0.390 0.347  0.00


No. 6
Computed, not measured: an optimized crystal structure of HoMg2Co at the PBE-GGA level of DFT.

The calculated density comes out at 5.422 g/cm3. As for the calculated volume: 83.4 Å³/f.u. Its formation energy is -115 meV/atom.

abc: 5.220 5.371 7.106
angles: 67.79 80.74 64.80
Positions (direct):
Ho: 0.250 0.178 0.643
Ho: 0.750 0.822 0.357
Mg: 0.590 0.402 0.824
Mg: 0.910 0.774 0.824
Mg: 0.410 0.598 0.176
Mg: 0.090 0.226 0.176
Co: 0.250 0.749 0.502
Co: 0.750 0.251 0.498


No. 7
Computed, not measured: an optimized crystal structure of Hf8Sn2As at the PBE-GGA level of DFT.

The calculated density comes out at 11.872 g/cm3. As for the calculated volume: 243.4 Å³/f.u. Its formation energy is -190 meV/atom.

abc: 4.625 5.939 9.613
angles: 107.71 103.92 90.00
Positions (direct):
Hf: 0.411 0.511 0.821
Hf: 0.646 0.034 0.293
Hf: 0.771 0.662 0.542
Hf: 0.973 0.235 0.946
Hf: 0.229 0.338 0.458
Hf: 0.354 0.966 0.707
Hf: 0.589 0.489 0.179
Hf: 0.027 0.765 0.054
Sn: 0.817 0.225 0.634
Sn: 0.183 0.775 0.366
As: 0.500 0.000 0.000


No. 8
Computed, not measured: an optimized crystal structure of ReAg2 at the PBE-GGA level of DFT.

The calculated density comes out at 10.391 g/cm3. As for the calculated volume: 64.2 Å³/f.u. As for the energy above the most stable polymorph in this dataset: 4.29 eV per formula unit. Its formation energy is 1847 meV/atom.

abc: 6.357 6.357 6.357
angles: 90.00 90.00 90.00
Site moments in Bohr magnetons follow the coordinates.
Positions (direct):
Re: 0.000 0.000 0.000  1.75
Re: 0.000 0.500 0.500  1.75
Re: 0.500 0.000 0.500  1.75
Re: 0.500 0.500 0.000  1.75
Ag: 0.129 0.629 0.871  0.07
Ag: 0.129 0.871 0.371  0.07
Ag: 0.371 0.129 0.871  0.07
Ag: 0.371 0.371 0.371  0.07
Ag: 0.629 0.629 0.629  0.07
Ag: 0.629 0.871 0.129  0.07
Ag: 0.871 0.129 0.629  0.07
Ag: 0.871 0.371 0.129  0.07


No. 9
Computed, not measured: an optimized crystal structure of NdMgInCu at the PBE-GGA level of DFT.

The calculated density comes out at 6.339 g/cm3. As for the calculated volume: 90.9 Å³/f.u. Its formation energy is -257 meV/atom.

abc: 5.046 5.046 5.046
angles: 60.00 60.00 60.00
Positions (direct):
Mg: 0.500 0.500 0.500
Nd: 0.000 0.000 0.000
Cu: 0.250 0.250 0.250
In: 0.750 0.750 0.750


No. 10
Computed, not measured: an optimized crystal structure of NaSrTb2Se4 at the PBE-GGA level of DFT.

The calculated density comes out at 5.790 g/cm3. As for the calculated volume: 213.5 Å³/f.u. The calculation puts the formation energy from raw total energies at -1.808 eV per atom.

abc: 4.178 7.490 7.204
angles: 71.25 90.00 90.00
Positions (direct):
Na: 0.000 0.500 0.500
Sr: 0.500 0.500 0.000
Tb: 0.000 0.000 0.000
Tb: 0.500 0.000 0.500
Se: 0.000 0.767 0.741
Se: 0.000 0.233 0.259
Se: 0.500 0.768 0.246
Se: 0.500 0.232 0.754


No. 11
Computed, not measured: an optimized crystal structure of LiGe3Ir at the PBE-GGA level of DFT.

The calculated density comes out at 7.986 g/cm3. As for the calculated volume: 86.7 Å³/f.u. As for the energy above the most stable polymorph in this dataset: 0.00 eV per formula unit. Its formation energy is -150 meV/atom.

abc: 4.281 4.278 10.938
angles: 90.00 90.00 120.02
Positions (direct):
Li: 0.176 0.000 0.500
Li: 0.176 0.000 0.000
Ge: 0.843 0.333 0.616
Ge: 0.843 0.333 0.884
Ge: 0.510 0.667 0.750
Ge: 0.509 0.667 0.116
Ge: 0.509 0.667 0.384
Ge: 0.843 0.333 0.250
Ir: 0.176 0.000 0.750
Ir: 0.176 0.000 0.250


No. 12
Computed, not measured: an optimized crystal structure of LiTaWSe2 at the PBE-GGA level of DFT.

The calculated density comes out at 7.331 g/cm3. As for the calculated volume: 120.0 Å³/f.u. The calculation puts the formation energy from raw total energies at 1.273 eV per atom.

abc: 4.931 4.933 4.931
angles: 90.00 90.00 90.00
Site moments in Bohr magnetons follow the coordinates.
Positions (direct):
Li: 0.000 0.500 0.000  -0.02
Se: 0.000 0.000 0.500  -0.05
Se: 0.500 0.000 0.000  -0.01
W: 0.500 0.500 0.500  3.20
Ta: 0.000 0.000 0.000  -0.16


No. 13
Computed, not measured: an optimized crystal structure of As2Pd2Ru at the PBE-GGA level of DFT.

The calculated density comes out at 9.625 g/cm3. As for the calculated volume: 80.0 Å³/f.u. As for the energy above the most stable polymorph in this dataset: 0.00 eV per formula unit. Its formation energy is -101 meV/atom.

abc: 6.502 6.502 3.785
angles: 90.00 90.00 90.00
Positions (direct):
Ru: 0.000 0.000 0.000
Ru: 0.500 0.500 0.000
As: 0.350 0.850 0.000
As: 0.850 0.650 0.000
As: 0.650 0.150 0.000
As: 0.150 0.350 0.000
Pd: 0.157 0.657 0.500
Pd: 0.657 0.843 0.500
Pd: 0.843 0.343 0.500
Pd: 0.343 0.157 0.500


No. 14
Computed, not measured: an optimized crystal structure of ThHgBi at the PBE-GGA level of DFT.

The calculated density comes out at 11.954 g/cm3. As for the calculated volume: 89.1 Å³/f.u. As for the energy above the most stable polymorph in this dataset: 0.39 eV per formula unit. Its formation energy is -227 meV/atom.

abc: 3.961 5.097 5.097
angles: 120.00 90.00 90.00
Positions (direct):
Bi: 0.719 0.667 0.333
Th: 0.286 0.333 0.667
Hg: 0.995 0.000 0.000


No. 15
Computed, not measured: an optimized crystal structure of Nd4OsAuCl2 at the PBE-GGA level of DFT.

The calculated density comes out at 7.476 g/cm3. As for the calculated volume: 229.9 Å³/f.u. The calculation puts the formation energy from raw total energies at -0.962 eV per atom.

abc: 4.176 7.911 7.329
angles: 71.70 90.00 90.00
Positions (direct):
Nd: 0.000 0.712 0.736
Nd: 0.000 0.288 0.264
Nd: 0.500 0.708 0.274
Nd: 0.500 0.292 0.726
Os: 0.000 0.500 0.500
Au: 0.500 0.500 0.000
Cl: 0.000 0.000 0.000
Cl: 0.500 0.000 0.500


No. 16
Computed, not measured: an optimized crystal structure of Ga2Cu2Hg at the PBE-GGA level of DFT.

The calculated density comes out at 9.235 g/cm3. As for the calculated volume: 84.0 Å³/f.u. As for the energy above the most stable polymorph in this dataset: 0.07 eV per formula unit. Its formation energy is 87 meV/atom.

abc: 7.047 7.047 3.382
angles: 90.00 90.00 90.00
Positions (direct):
Cu: 0.371 0.871 0.000
Cu: 0.871 0.629 0.000
Cu: 0.629 0.129 0.000
Cu: 0.129 0.371 0.000
Hg: 0.000 0.000 0.000
Hg: 0.500 0.500 0.000
Ga: 0.162 0.662 0.500
Ga: 0.662 0.838 0.500
Ga: 0.838 0.338 0.500
Ga: 0.338 0.162 0.500


No. 17
Computed, not measured: an optimized crystal structure of ZnNiHPd2 at the PBE-GGA level of DFT.

The calculated density comes out at 9.497 g/cm3. As for the calculated volume: 59.1 Å³/f.u. As for the energy above the most stable polymorph in this dataset: 0.91 eV per formula unit.

abc: 3.884 3.884 3.916
angles: 90.00 90.00 90.00
Site moments in Bohr magnetons follow the coordinates.
Positions (direct):
Ni: 0.500 0.500 0.500  0.54
Zn: 0.000 0.000 0.500  -0.01
Pd: 0.000 0.500 0.000  0.06
Pd: 0.500 0.000 0.000  0.06
H: 0.000 0.000 0.000  0.00


No. 18
Computed, not measured: an optimized crystal structure of CuRu at the PBE-GGA level of DFT.

The calculated density comes out at 10.372 g/cm3. As for the calculated volume: 26.4 Å³/f.u. Its formation energy is 155 meV/atom.

abc: 2.732 2.732 7.064
angles: 90.00 90.00 90.00
Positions (direct):
Ru: 0.000 0.500 0.622
Ru: 0.500 0.000 0.378
Cu: 0.000 0.500 0.114
Cu: 0.500 0.000 0.886


No. 19
Computed, not measured: an optimized crystal structure of Cs2PCSe at the PBE-GGA level of DFT.

The calculated density comes out at 3.853 g/cm3. As for the calculated volume: 167.1 Å³/f.u. The calculation puts the formation energy from raw total energies at 0.160 eV per atom.

abc: 6.890 3.520 6.890
angles: 90.00 90.00 90.00
Positions (direct):
Cs: 0.000 0.000 0.500
Cs: 0.500 0.000 0.000
P: 0.000 0.000 0.000
C: 0.000 0.500 0.000
Se: 0.500 0.500 0.500


No. 20
Computed, not measured: an optimized crystal structure of SrTa2TiAl at the PBE-GGA level of DFT.

The calculated density comes out at 7.209 g/cm3. As for the calculated volume: 120.8 Å³/f.u. Its formation energy is 887 meV/atom.

abc: 4.802 5.238 4.802
angles: 90.00 90.00 90.00
Positions (direct):
Sr: 0.500 0.500 0.500
Ti: 0.000 0.000 0.000
Al: 0.000 0.500 0.000
Ta: 0.000 0.000 0.500
Ta: 0.500 0.000 0.000


No. 21
Computed, not measured: an optimized crystal structure of Tb4YBi5 at the PBE-GGA level of DFT.

The calculated density comes out at 9.177 g/cm3. As for the calculated volume: 320.2 Å³/f.u. Its formation energy is -884 meV/atom.

abc: 4.493 6.348 11.881
angles: 105.50 100.90 90.00
Positions (direct):
Tb: 0.400 0.400 0.800
Tb: 0.800 0.800 0.600
Tb: 0.200 0.200 0.400
Tb: 0.600 0.600 0.200
Y: 0.000 0.000 0.000
Bi: 0.600 0.100 0.200
Bi: 0.800 0.300 0.600
Bi: 0.200 0.700 0.400
Bi: 0.000 0.500 0.000
Bi: 0.400 0.900 0.800


No. 22
Computed, not measured: an optimized crystal structure of Rb3Ca2Cl3F4 at the PBE-GGA level of DFT.

The calculated density comes out at 2.779 g/cm3. As for the calculated volume: 310.0 Å³/f.u. The calculation puts the formation energy from raw total energies at -2.803 eV per atom.

abc: 4.474 5.453 13.187
angles: 101.93 99.77 90.00
Positions (direct):
Rb: 0.502 0.500 0.000
Rb: 0.308 0.305 0.610
Rb: 0.697 0.695 0.390
Ca: 0.116 0.113 0.227
Ca: 0.889 0.887 0.773
Cl: 0.003 0.000 0.000
Cl: 0.104 0.602 0.204
Cl: 0.901 0.398 0.796
F: 0.386 0.883 0.767
F: 0.202 0.200 0.400
F: 0.802 0.800 0.600
F: 0.619 0.117 0.233


No. 23
Computed, not measured: an optimized crystal structure of ErTmAsS at the PBE-GGA level of DFT.

The calculated density comes out at 8.323 g/cm3. As for the calculated volume: 88.4 Å³/f.u. The calculation puts the formation energy from raw total energies at -1.756 eV per atom.

abc: 3.971 3.972 5.606
angles: 90.00 90.00 90.00
Positions (direct):
Er: 0.500 0.391 0.092
Tm: 0.000 0.892 0.592
As: 0.000 0.891 0.092
S: 0.500 0.392 0.592


No. 24
Computed, not measured: an optimized crystal structure of AgHIO2 at the PBE-GGA level of DFT.

The calculated density comes out at 3.877 g/cm3. As for the calculated volume: 114.7 Å³/f.u. As for the energy above the most stable polymorph in this dataset: 0.00 eV per formula unit.

abc: 3.883 3.883 7.606
angles: 90.00 90.00 90.00
Site moments in Bohr magnetons follow the coordinates.
Positions (direct):
I: 0.000 0.000 0.500  0.00
H: 0.500 0.500 0.500  0.00
O: 0.000 0.500 0.000  0.55
O: 0.500 0.000 0.000  0.55
Ag: 0.000 0.000 0.000  0.24


No. 25
Computed, not measured: an optimized crystal structure of Al2Au5 at the PBE-GGA level of DFT.

The calculated density comes out at 13.960 g/cm3. As for the calculated volume: 123.6 Å³/f.u. As for the energy above the most stable polymorph in this dataset: 0.00 eV per formula unit. Its formation energy is -277 meV/atom.

abc: 6.469 6.195 7.648
angles: 114.43 115.02 90.00
Positions (direct):
Al: 0.359 0.643 0.247
Al: 0.112 0.857 0.753
Al: 0.641 0.357 0.753
Al: 0.888 0.143 0.247
Au: 0.071 0.453 0.825
Au: 0.247 0.047 0.175
Au: 0.715 0.491 0.466
Au: 0.250 0.009 0.534
Au: 0.285 0.509 0.534
Au: 0.750 0.991 0.466
Au: 0.753 0.953 0.825
Au: 0.929 0.547 0.175
Au: 0.533 0.750 0.000
Au: 0.467 0.250 0.000


No. 26
Computed, not measured: an optimized crystal structure of Cd2TeF at the PBE-GGA level of DFT.

The calculated density comes out at 7.071 g/cm3. As for the calculated volume: 87.2 Å³/f.u. As for the energy above the most stable polymorph in this dataset: 0.45 eV per formula unit. The calculation puts the formation energy from raw total energies at -0.680 eV per atom.

abc: 4.978 4.978 4.978
angles: 60.00 60.00 60.00
Positions (direct):
F: 0.000 0.000 0.000
Te: 0.500 0.500 0.500
Cd: 0.250 0.250 0.250
Cd: 0.750 0.750 0.750